Record 1
This record from Alexandria describes a crystal of ScOsWO2 relaxed with PBEsol. The functional is meta-GGA SCAN.

a b c (Å): 3.774 3.774 5.487
angles (deg): 90.00 90.00 90.00
Fractional coordinates of all 5 atoms:
Sc1 0.000 0.000 0.000
Os1 0.000 0.000 0.500
W1 0.500 0.500 0.500
O1 0.000 0.500 0.000
O2 0.500 0.000 0.000

Calculated values
- Symmetry: P4/mmm

Record 2
This record from Alexandria describes a crystal of SiOsO2 relaxed with PBEsol. The functional is meta-GGA SCAN.

a b c (Å): 9.654 9.654 9.654
angles (deg): 15.56 15.56 15.56
Fractional coordinates of all 4 atoms:
Si1 0.000 0.000 0.000
Os1 0.500 0.500 0.500
O1 0.366 0.366 0.366
O2 0.634 0.634 0.634

Calculated values
- Symmetry: R-3m

Record 3
This record from Alexandria describes a crystal of Sm3OsO7 relaxed with PBEsol. The functional is meta-GGA SCAN.

a b c (Å): 6.487 6.487 7.440
angles (deg): 90.00 90.00 68.94
Fractional coordinates of all 22 atoms:
Sm1 0.000 0.000 0.000
Sm2 0.000 0.000 0.500
Sm3 0.078 0.474 0.750
Sm4 0.474 0.078 0.250
Sm5 0.526 0.922 0.750
Sm6 0.922 0.526 0.250
Os1 0.500 0.500 0.000
Os2 0.500 0.500 0.500
O1 0.106 0.158 0.250
O2 0.158 0.106 0.750
O3 0.183 0.563 0.039
O4 0.183 0.563 0.461
O5 0.416 0.584 0.750
O6 0.437 0.817 0.039
O7 0.437 0.817 0.461
O8 0.563 0.183 0.539
O9 0.563 0.183 0.961
O10 0.584 0.416 0.250
O11 0.817 0.437 0.539
O12 0.817 0.437 0.961
O13 0.842 0.894 0.250
O14 0.894 0.842 0.750

Calculated values
- Symmetry: Cmcm

Record 4
This record from Alexandria describes a crystal of SnOsO3 relaxed with PBEsol. The functional is meta-GGA SCAN.

a b c (Å): 4.003 4.003 4.003
angles (deg): 90.00 90.00 90.00
Fractional coordinates of all 5 atoms:
Sn1 0.000 0.000 0.000
Os1 0.500 0.500 0.500
O1 0.000 0.000 0.500
O2 0.000 0.500 0.000
O3 0.500 0.000 0.000

Calculated values
- Symmetry: Pm-3m

Record 5
This record from Alexandria describes a crystal of SnOsO3 relaxed with PBEsol. The functional is meta-GGA SCAN.

a b c (Å): 3.945 3.945 3.945
angles (deg): 90.00 90.00 90.00
Fractional coordinates of all 5 atoms:
Sn1 0.000 0.000 0.000
Os1 0.500 0.500 0.500
O1 0.000 0.500 0.500
O2 0.500 0.000 0.500
O3 0.500 0.500 0.000

Calculated values
- Symmetry: Pm-3m

Record 6
This record from Alexandria describes a crystal of SnOs2O relaxed with PBEsol. The functional is meta-GGA SCAN.

a b c (Å): 4.312 4.312 4.312
angles (deg): 60.00 60.00 60.00
Fractional coordinates of all 4 atoms:
Sn1 0.000 0.000 0.000
Os1 0.250 0.250 0.250
Os2 0.750 0.750 0.750
O1 0.500 0.500 0.500

Calculated values
- Symmetry: Fm-3m

Record 7
This record from Alexandria describes a crystal of Sr11Os4O24 relaxed with PBEsol. The functional is meta-GGA SCAN.

a b c (Å): 11.474 11.474 11.474
angles (deg): 119.03 119.03 91.70
Fractional coordinates of all 78 atoms:
Sr1 0.138 0.888 0.250
Sr2 0.150 0.342 0.217
Sr3 0.158 0.875 0.808
Sr4 0.179 0.692 0.437
Sr5 0.192 0.256 0.513
Sr6 0.242 0.679 0.987
Sr7 0.244 0.258 0.937
Sr8 0.375 0.067 0.717
Sr9 0.375 0.125 0.250
Sr10 0.388 0.638 0.750
Sr11 0.433 0.650 0.308
Sr12 0.567 0.350 0.692
Sr13 0.612 0.362 0.250
Sr14 0.625 0.875 0.750
Sr15 0.625 0.933 0.283
Sr16 0.756 0.742 0.063
Sr17 0.758 0.321 0.013
Sr18 0.808 0.744 0.487
Sr19 0.821 0.308 0.563
Sr20 0.842 0.125 0.192
Sr21 0.850 0.658 0.783
Sr22 0.862 0.112 0.750
Os1 0.000 0.000 0.000
Os2 0.000 0.000 0.500
Os3 0.000 0.500 0.000
Os4 0.000 0.500 0.500
Os5 0.500 0.000 0.000
Os6 0.500 0.000 0.500
Os7 0.500 0.500 0.000
Os8 0.500 0.500 0.500
O1 0.006 0.509 0.843
O2 0.009 0.667 0.503
O3 0.028 0.984 0.669
O4 0.071 0.347 0.967
O5 0.097 0.859 0.994
O6 0.113 0.111 0.230
O7 0.119 0.895 0.467
O8 0.140 0.472 0.456
O9 0.144 0.106 0.012
O10 0.153 0.619 0.724
O11 0.167 0.164 0.657
O12 0.185 0.640 0.169
O13 0.336 0.494 0.003
O14 0.359 0.865 0.762
O15 0.365 0.103 0.506
O16 0.369 0.356 0.462
O17 0.381 0.883 0.270
O18 0.383 0.613 0.502
O19 0.389 0.119 0.002
O20 0.394 0.907 0.038
O21 0.395 0.429 0.776
O22 0.397 0.403 0.262
O23 0.407 0.869 0.512
O24 0.484 0.315 0.956
O25 0.516 0.685 0.044
O26 0.593 0.131 0.488
O27 0.603 0.597 0.738
O28 0.605 0.571 0.224
O29 0.606 0.093 0.962
O30 0.611 0.881 0.998
O31 0.617 0.387 0.498
O32 0.619 0.117 0.730
O33 0.631 0.644 0.538
O34 0.635 0.897 0.494
O35 0.641 0.135 0.238
O36 0.664 0.506 0.997
O37 0.815 0.360 0.831
O38 0.833 0.836 0.343
O39 0.847 0.381 0.276
O40 0.856 0.894 0.988
O41 0.860 0.528 0.544
O42 0.881 0.105 0.533
O43 0.887 0.889 0.770
O44 0.903 0.141 0.006
O45 0.929 0.653 0.033
O46 0.972 0.016 0.331
O47 0.991 0.333 0.497
O48 0.994 0.491 0.157

Calculated values
- Symmetry: I4_1/a

Record 8
This record from Alexandria describes a crystal of Tb3OsO7 relaxed with PBEsol. The functional is meta-GGA SCAN.

a b c (Å): 6.393 6.393 7.350
angles (deg): 90.00 90.00 69.69
Fractional coordinates of all 22 atoms:
Tb1 0.000 0.000 0.000
Tb2 0.000 0.000 0.500
Tb3 0.061 0.478 0.750
Tb4 0.478 0.061 0.250
Tb5 0.522 0.939 0.750
Tb6 0.939 0.522 0.250
Os1 0.500 0.500 0.000
Os2 0.500 0.500 0.500
O1 0.110 0.156 0.250
O2 0.156 0.110 0.750
O3 0.175 0.570 0.030
O4 0.175 0.570 0.470
O5 0.430 0.825 0.030
O6 0.430 0.825 0.470
O7 0.449 0.551 0.750
O8 0.551 0.449 0.250
O9 0.570 0.175 0.530
O10 0.570 0.175 0.970
O11 0.825 0.430 0.530
O12 0.825 0.430 0.970
O13 0.844 0.890 0.250
O14 0.890 0.844 0.750

Calculated values
- Symmetry: Cmcm

Record 9
This record from Alexandria describes a crystal of TlOsO3 relaxed with PBEsol. The functional is meta-GGA SCAN.

a b c (Å): 3.938 3.938 3.938
angles (deg): 90.00 90.00 90.00
Fractional coordinates of all 5 atoms:
Tl1 0.000 0.000 0.000
Os1 0.500 0.500 0.500
O1 0.000 0.500 0.500
O2 0.500 0.000 0.500
O3 0.500 0.500 0.000

Calculated values
- Symmetry: Pm-3m

Record 10
This record from Alexandria describes a crystal of OsWO3 relaxed with PBEsol. The functional is meta-GGA SCAN.

a b c (Å): 3.888 3.888 3.888
angles (deg): 90.00 90.00 90.00
Fractional coordinates of all 5 atoms:
Os1 0.000 0.000 0.000
W1 0.500 0.500 0.500
O1 0.000 0.000 0.500
O2 0.000 0.500 0.000
O3 0.500 0.000 0.000

Calculated values
- Symmetry: Pm-3m

Record 11
This record from Alexandria describes a crystal of YOs3O relaxed with PBEsol. The functional is meta-GGA SCAN.

a b c (Å): 4.834 4.834 4.834
angles (deg): 90.00 90.00 90.00
Fractional coordinates of all 5 atoms:
Y1 0.000 0.000 0.000
Os1 0.000 0.000 0.500
Os2 0.000 0.500 0.000
Os3 0.500 0.000 0.000
O1 0.500 0.500 0.500

Calculated values
- Symmetry: Pm-3m

Record 12
This record from Alexandria describes a crystal of ZrOs3O relaxed with PBEsol. The functional is meta-GGA SCAN.

a b c (Å): 4.109 4.109 4.109
angles (deg): 90.00 90.00 90.00
Fractional coordinates of all 5 atoms:
Zr1 0.000 0.000 0.000
Os1 0.000 0.500 0.500
Os2 0.500 0.000 0.500
Os3 0.500 0.500 0.000
O1 0.500 0.500 0.500

Calculated values
- Symmetry: Pm-3m

Record 13
This record from Alexandria describes a crystal of P2O5 relaxed with PBEsol. The functional is meta-GGA SCAN.

a b c (Å): 8.633 4.878 9.156
angles (deg): 68.25 31.65 80.09
Fractional coordinates of all 14 atoms:
P1 0.005 0.995 0.845
P2 0.095 0.405 0.255
P3 0.405 0.095 0.245
P4 0.995 0.005 0.155
O1 0.144 0.144 0.856
O2 0.160 0.289 0.067
O3 0.183 0.766 0.090
O4 0.244 0.798 0.367
O5 0.289 0.160 0.484
O6 0.394 0.394 0.106
O7 0.660 0.883 0.452
O8 0.766 0.183 0.961
O9 0.798 0.244 0.590
O10 0.883 0.660 0.006

Calculated values
- Symmetry: Fdd2
- Relative energy among the computed polymorphs: 0.012 eV per atom

Record 14
This record from Alexandria describes a crystal of P2O5 relaxed with PBEsol. The functional is meta-GGA SCAN.

a b c (Å): 9.330 4.907 7.261
angles (deg): 90.00 90.00 90.00
Fractional coordinates of all 28 atoms:
P1 0.100 0.250 0.147
P2 0.245 0.750 0.284
P3 0.255 0.250 0.784
P4 0.400 0.750 0.647
P5 0.600 0.250 0.353
P6 0.745 0.750 0.216
P7 0.755 0.250 0.716
P8 0.900 0.750 0.853
O1 0.050 0.750 0.914
O2 0.135 0.250 0.656
O3 0.139 0.002 0.276
O4 0.139 0.498 0.276
O5 0.224 0.250 0.000
O6 0.276 0.750 0.500
O7 0.361 0.502 0.776
O8 0.361 0.998 0.776
O9 0.365 0.750 0.156
O10 0.450 0.250 0.414
O11 0.550 0.750 0.586
O12 0.635 0.250 0.844
O13 0.639 0.002 0.224
O14 0.639 0.498 0.224
O15 0.724 0.250 0.500
O16 0.776 0.750 0.000
O17 0.861 0.502 0.724
O18 0.861 0.998 0.724
O19 0.865 0.750 0.344
O20 0.950 0.250 0.086

Calculated values
- Symmetry: Pnma
- Relative energy among the computed polymorphs: 0.000 eV per atom

Record 15
This record from Alexandria describes a crystal of P2O5 relaxed with PBEsol. The functional is meta-GGA SCAN.

a b c (Å): 7.671 7.671 7.671
angles (deg): 88.57 88.57 88.57
Fractional coordinates of all 28 atoms:
P1 0.000 0.000 0.000
P2 0.003 0.205 0.300
P3 0.205 0.300 0.003
P4 0.300 0.003 0.205
P5 0.500 0.500 0.500
P6 0.503 0.800 0.705
P7 0.705 0.503 0.800
P8 0.800 0.705 0.503
O1 0.085 0.167 0.903
O2 0.086 0.350 0.170
O3 0.167 0.903 0.085
O4 0.170 0.086 0.350
O5 0.270 0.445 0.898
O6 0.350 0.170 0.086
O7 0.394 0.394 0.394
O8 0.398 0.945 0.770
O9 0.403 0.667 0.585
O10 0.445 0.898 0.270
O11 0.585 0.403 0.667
O12 0.586 0.670 0.850
O13 0.667 0.585 0.403
O14 0.670 0.850 0.586
O15 0.770 0.398 0.945
O16 0.850 0.586 0.670
O17 0.894 0.894 0.894
O18 0.898 0.270 0.445
O19 0.903 0.085 0.167
O20 0.945 0.770 0.398

Calculated values
- Symmetry: R3c
- Relative energy among the computed polymorphs: 0.055 eV per atom

Record 16
This record from Alexandria describes a crystal of P2O3 relaxed with PBEsol. The functional is meta-GGA SCAN.

a b c (Å): 6.220 7.934 6.791
angles (deg): 90.00 111.33 90.00
Fractional coordinates of all 20 atoms:
P1 0.163 0.250 0.374
P2 0.243 0.750 0.494
P3 0.261 0.564 0.878
P4 0.261 0.936 0.878
P5 0.739 0.064 0.122
P6 0.739 0.436 0.122
P7 0.757 0.250 0.506
P8 0.837 0.750 0.626
O1 0.024 0.090 0.224
O2 0.024 0.410 0.224
O3 0.040 0.250 0.552
O4 0.323 0.590 0.663
O5 0.323 0.910 0.663
O6 0.337 0.750 0.991
O7 0.663 0.250 0.009
O8 0.677 0.090 0.337
O9 0.677 0.410 0.337
O10 0.960 0.750 0.448
O11 0.976 0.590 0.776
O12 0.976 0.910 0.776

Calculated values
- Symmetry: P2_1/m

Spin magnetization: 0.20, 0.65, 6.00, 4.09, 1.70, 0.01, 12.05, 4.40, 0.00, 2.28, 4.79, 0.00, 0.17, 0.00, 0.38, 0.00 (Bohr magnetons per cell)
Energy: -167.97, -99.88, -563.26, -126.01, -130.16, -181.33, -1548.99, -577.83, -166.88, -157.86, -231.16, -251.38, -134.47, -269.28, -267.75, -191.30 (eV per cell)
Theoretical density: 9.58, 7.36, 8.56, 9.24, 9.65, 15.09, 6.46, 9.18, 12.04, 11.92, 9.93, 16.23, 2.62, 2.84, 2.09, 2.34 (g/cm3)